Model P:
Density functional theory data (PBE) for a relaxed BaTcAs2 crystal.

Values from the calculation:
M_tot (μB/f.u.): 0.000
Crystal system: orthorhombic

Unit cell a=3.684 b=4.233 c=6.404 alpha=90.00 beta=90.00 gamma=90.00
Atoms (fractional coordinates):
Ba: 0.000 0.000 0.000
Tc: 0.500 0.000 0.500
As: 0.500 0.500 0.296
As: 0.500 0.500 0.704


Model Q:
Density functional theory data (PBE) for a relaxed BaTcAs2 crystal.

Values from the calculation:
M_tot (μB/f.u.): 0.000
Crystal system: tetragonal

Unit cell a=3.281 b=3.281 c=7.753 alpha=90.00 beta=90.00 gamma=90.00
Atoms (fractional coordinates):
Ba: 0.000 0.000 0.000
Tc: 0.000 0.000 0.500
As: 0.500 0.500 0.315
As: 0.500 0.500 0.685


Model R:
Density functional theory data (PBE) for a relaxed BaTcAs2 crystal.

Values from the calculation:
M_tot (μB/f.u.): 0.000
Crystal system: monoclinic

Unit cell a=4.344 b=4.344 c=6.297 alpha=110.20 beta=110.20 gamma=60.06
Atoms (fractional coordinates):
Ba: 0.000 0.000 0.000
Tc: 0.500 0.500 0.500
As: 0.208 0.208 0.624
As: 0.792 0.792 0.376


Quick ranking, most stable first: model R, model Q, model P.


Model P:
Density functional theory data (PBE) for a relaxed Ba4TeAs2 crystal.

Values from the calculation:
M_tot (μB/f.u.): 0.000
Crystal system: tetragonal

Unit cell a=9.352 b=9.352 c=9.352 alpha=110.80 beta=110.80 gamma=106.84
Atoms (fractional coordinates):
Ba: 0.219 0.282 0.563
Ba: 0.219 0.656 0.937
Ba: 0.282 0.219 0.063
Ba: 0.344 0.781 0.563
Ba: 0.656 0.219 0.437
Ba: 0.718 0.781 0.937
Ba: 0.781 0.344 0.063
Ba: 0.781 0.718 0.437
Te: 0.125 0.875 0.250
Te: 0.875 0.125 0.750
As: 0.000 0.500 0.500
As: 0.500 0.000 0.000
As: 0.500 0.500 0.000
As: 0.500 0.500 0.500


Model Q:
Density functional theory data (PBE) for a relaxed Ba4TeAs2 crystal.

Values from the calculation:
M_tot (μB/f.u.): 0.000
Crystal system: tetragonal

Unit cell a=9.794 b=9.794 c=9.794 alpha=142.53 beta=142.53 gamma=54.03
Atoms (fractional coordinates):
Ba: 0.000 0.500 0.500
Ba: 0.199 0.199 0.000
Ba: 0.500 0.000 0.500
Ba: 0.801 0.801 0.000
Te: 0.000 0.000 0.000
As: 0.379 0.379 0.000
As: 0.621 0.621 0.000


Quick ranking, most stable first: model P, model Q.


Model P:
Density functional theory data (PBE) for a relaxed BaTeAs3 crystal.

Values from the calculation:
M_tot (μB/f.u.): 0.000
Crystal system: cubic

Unit cell a=5.791 b=5.791 c=5.791 alpha=90.00 beta=90.00 gamma=90.00
Atoms (fractional coordinates):
Ba: 0.000 0.000 0.000
Te: 0.500 0.500 0.500
As: 0.000 0.000 0.500
As: 0.000 0.500 0.000
As: 0.500 0.000 0.000


Model Q:
Density functional theory data (PBE) for a relaxed BaTeAs3 crystal.

Values from the calculation:
M_tot (μB/f.u.): 0.000
Crystal system: cubic

Unit cell a=5.404 b=5.404 c=5.404 alpha=90.00 beta=90.00 gamma=90.00
Atoms (fractional coordinates):
Ba: 0.000 0.000 0.000
Te: 0.500 0.500 0.500
As: 0.000 0.500 0.500
As: 0.500 0.000 0.500
As: 0.500 0.500 0.000


Quick ranking, most stable first: model Q, model P.


Model P:
Density functional theory data (PBE) for a relaxed BaTe2As2 crystal.

Values from the calculation:
M_tot (μB/f.u.): 0.000
Crystal system: tetragonal

Unit cell a=9.497 b=9.497 c=9.497 alpha=155.05 beta=155.05 gamma=35.57
Atoms (fractional coordinates):
Ba: 0.000 0.000 0.000
Te: 0.389 0.389 0.000
Te: 0.611 0.611 0.000
As: 0.250 0.750 0.500
As: 0.750 0.250 0.500


Model Q:
Density functional theory data (PBE) for a relaxed BaTe2As2 crystal.

Values from the calculation:
M_tot (μB/f.u.): 0.000
Crystal system: tetragonal

Unit cell a=7.566 b=7.566 c=7.566 alpha=143.03 beta=143.03 gamma=53.29
Atoms (fractional coordinates):
Ba: 0.000 0.000 0.000
Te: 0.250 0.750 0.500
Te: 0.750 0.250 0.500
As: 0.414 0.414 0.000
As: 0.586 0.586 0.000


Quick ranking, most stable first: model Q, model P.


Model P:
Density functional theory data (PBE) for a relaxed BaTlAs crystal.

Values from the calculation:
M_tot (μB/f.u.): 0.000
Crystal system: orthorhombic

Unit cell a=5.734 b=5.734 c=6.899 alpha=90.00 beta=90.00 gamma=120.04
Atoms (fractional coordinates):
Ba: 0.167 0.833 0.750
Ba: 0.833 0.167 0.250
Tl: 0.500 0.500 0.000
Tl: 0.500 0.500 0.500
As: 0.166 0.834 0.250
As: 0.834 0.166 0.750


Model Q:
Density functional theory data (PBE) for a relaxed BaTlAs crystal.

Values from the calculation:
M_tot (μB/f.u.): 0.000
Crystal system: orthorhombic

Unit cell a=8.232 b=5.004 c=10.290 alpha=90.00 beta=90.00 gamma=90.00
Atoms (fractional coordinates):
Ba: 0.140 0.250 0.151
Ba: 0.360 0.750 0.651
Ba: 0.640 0.250 0.349
Ba: 0.860 0.750 0.849
Tl: 0.021 0.750 0.414
Tl: 0.479 0.250 0.914
Tl: 0.521 0.750 0.086
Tl: 0.979 0.250 0.586
As: 0.146 0.250 0.822
As: 0.354 0.750 0.322
As: 0.646 0.250 0.678
As: 0.854 0.750 0.178


Model R:
Density functional theory data (PBE) for a relaxed BaTlAs crystal.

Values from the calculation:
M_tot (μB/f.u.): 0.000
Crystal system: cubic

Unit cell a=5.445 b=5.445 c=5.445 alpha=60.00 beta=60.00 gamma=60.00
Atoms (fractional coordinates):
Ba: 0.000 0.000 0.000
Tl: 0.750 0.750 0.750
As: 0.250 0.250 0.250


Model S:
Density functional theory data (PBE) for a relaxed BaTlAs crystal.

Values from the calculation:
M_tot (μB/f.u.): 0.000
Crystal system: tetragonal

Unit cell a=5.776 b=5.776 c=5.776 alpha=131.85 beta=131.85 gamma=70.47
Atoms (fractional coordinates):
Ba: 0.000 0.000 0.000
Tl: 0.342 0.342 0.000
As: 0.645 0.645 0.000


Quick ranking, most stable first: model Q, model P, model S, model R.